First-principles (PBE) data for an optimized crystal structure of ZrReN, as listed in Alexandria via LeMat-Bulk.

Cell: 2.9489 4.4394 6.7284 Å, 94.78 90.00 109.40°
Positions (direct):
Zr: 0.3430 0.6860 0.1487
Zr: 0.5890 0.1781 0.8426
Re: 0.1027 0.2055 0.4194
Re: 0.8450 0.6901 0.5819
N: 0.8753 0.7506 0.8886
N: 0.6209 0.2418 0.1901

## Properties
ΔE_f (raw)   -567 meV/atom
Space-group type   No. 8
Total moment   0.00 μB per formula unit
N(E_F)   0.631 states/eV per atom



First-principles (PBE) data for an optimized crystal structure of ScPdO3, as listed in Alexandria via LeMat-Bulk.

Cell: 4.0291 4.0291 4.0291 Å, 90.00 90.00 90.00°
Each line ends with the local moment (μB).
Positions (direct):
Sc: 0.0000 0.0000 0.0000  -0.07
O: 0.0000 0.5000 0.0000  0.66
O: 0.0000 0.0000 0.5000  0.52
O: 0.5000 0.0000 0.0000  0.49
Pd: 0.5000 0.5000 0.5000  1.13

## Properties
ΔE_f (raw)   -1109 meV/atom
Space-group type   No. 221
Total moment   3.00 μB per formula unit
N(E_F)   0.247 states/eV per atom



Which formula does entry 1 have? ZrReN



Which of these has the highest N(E_F)? ZrReN



Copy entry 2 word for word.
First-principles (PBE) data for an optimized crystal structure of ScPdO3, as listed in Alexandria via LeMat-Bulk.

Cell: 4.0291 4.0291 4.0291 Å, 90.00 90.00 90.00°
Each line ends with the local moment (μB).
Positions (direct):
Sc: 0.0000 0.0000 0.0000  -0.07
O: 0.0000 0.5000 0.0000  0.66
O: 0.0000 0.0000 0.5000  0.52
O: 0.5000 0.0000 0.0000  0.49
Pd: 0.5000 0.5000 0.5000  1.13

## Properties
ΔE_f (raw)   -1109 meV/atom
Space-group type   No. 221
Total moment   3.00 μB per formula unit
N(E_F)   0.247 states/eV per atom